Computed, not measured: a relaxed structure of Tb4SmDy6 at the PBE-GGA level of DFT.

- offset from the most stable computed form (meV per atom) = 312
- raw total energy (eV per cell) = -46.05
- space-group type = No. 121
- ρ (Mg/m³) = 7.7
- crystal system = tetragonal
- energy relative to the elements (eV per atom) = 0.4366

Cell: 8.473 8.473 8.473 Å, 126.60 126.60 78.91°
Element x y z (fractional)
Tb: 0.256 0.256 0.665
Tb: 0.409 0.744 0.000
Tb: 0.591 0.591 0.335
Tb: 0.744 0.409 0.000
Sm: 0.000 0.000 0.000
Dy: 0.000 0.500 0.500
Dy: 0.056 0.572 0.000
Dy: 0.428 0.428 0.484
Dy: 0.500 0.000 0.500
Dy: 0.572 0.056 0.000
Dy: 0.944 0.944 0.516